Below is a relaxed structure of Pu2MnGe6Ir, with properties calculated at the PBE level.

```
Pu2MnGe6Ir
1.0
6.015 0.000 0.000
3.008 5.209 0.000
3.008 1.736 12.789
Pu Mn Ge Ir
4 2 12 2
Direct
0.876 0.876 0.372 Pu
0.124 0.124 0.628 Pu
0.724 0.724 0.829 Pu
0.276 0.276 0.171 Pu
0.000 0.000 0.000 Mn
0.500 0.500 0.500 Mn
0.919 0.343 0.395 Ge
0.343 0.919 0.395 Ge
0.343 0.343 0.395 Ge
0.081 0.657 0.605 Ge
0.657 0.081 0.605 Ge
0.657 0.657 0.605 Ge
0.750 0.200 0.851 Ge
0.200 0.750 0.851 Ge
0.200 0.200 0.851 Ge
0.250 0.800 0.149 Ge
0.800 0.250 0.149 Ge
0.800 0.800 0.149 Ge
0.575 0.575 0.274 Ir
0.425 0.425 0.726 Ir
```

Formation enthalpy at 0 K, eV/atom: -0.21

Below is a relaxed structure of AgTe2Br, with properties calculated at the PBE level.

```
AgTe2Br
1.0
8.925 -0.023 -0.079
8.035 3.885 -0.079
0.958 0.218 3.946
Te Ag Br
2 1 1
Direct
0.973 0.973 0.027 Te
0.527 0.527 0.473 Te
0.250 0.250 0.250 Ag
0.750 0.750 0.750 Br
```

Formation energy without anion corrections, eV per formula unit: -0.2

Below is a relaxed structure of ScZnGe2, with properties calculated at the PBE level.

```
ScZnGe2
1.0
-2.157 1.914 2.716
-2.088 -3.300 0.667
7.958 -1.719 4.644
Sc Zn Ge
2 2 4
Direct
0.114 0.114 0.228 Sc
0.886 0.886 0.772 Sc
0.750 0.250 0.500 Zn
0.250 0.750 0.500 Zn
0.352 0.352 0.704 Ge
0.648 0.648 0.296 Ge
0.500 0.000 0.000 Ge
0.000 0.500 0.000 Ge
```

Formation enthalpy at 0 K, eV/atom: -0.42

Below is a relaxed structure of Tb8CeNd2, with properties calculated at the PBE level.

```
Tb8CeNd2
1.0
4.894 0.000 -1.303
-0.525 7.746 -1.971
-0.098 -0.075 9.471
Tb Ce Nd
8 1 2
Direct
0.590 0.453 0.179 Tb
0.320 0.093 0.641 Tb
0.135 0.177 0.269 Tb
0.044 0.731 0.088 Tb
0.865 0.823 0.731 Tb
0.680 0.907 0.359 Tb
0.410 0.547 0.821 Tb
0.956 0.269 0.912 Tb
0.500 0.000 0.000 Ce
0.228 0.638 0.457 Nd
0.772 0.362 0.543 Nd
```

Formation enthalpy at 0 K, eV/atom: 0.04
E above lowest polymorph, kJ per mole of atoms: 0.00

no.,DFT total energy (eV/f.u.)
1,-76.492
2,-11.023
3,-18.523
4,-52.093